Entry 1:
A geometry-optimized ReSnAsO structure. Source: the Open Quantum Materials Database, functional PBE-GGA.

```
8
Lattice="3.0317 0.0000 0.0000 0.0000 7.9348 0.0000 0.0000 0.0000 5.8320" Properties=species:S:1:pos:R:3 pbc="T T T"
Re 0.0000 0.0075 0.0000
Re 0.0000 7.9273 2.9160
Sn 1.5158 3.4443 4.3008
Sn 1.5158 4.4906 1.3848
As 1.5158 1.4729 1.4587
As 1.5158 6.4619 4.3748
O 0.0000 1.4162 4.3682
O 0.0000 6.5186 1.4522
```

Results
volume: 70 Å³/f.u.
total magnetization: 0.00 μB per formula unit
ΔE to the lowest computed polymorph: 164 meV/atom
space group: Pmc2_1, No. 26
total DFT energy (no corrections): -27.3 eV per formula unit
crystal system: orthorhombic

Entry 2:
A geometry-optimized Li6Au2O7 structure. Source: the Open Quantum Materials Database, functional PBE-GGA.

```
15
Lattice="5.2229 0.0000 0.0000 0.6997 5.2419 0.0000 1.8103 -0.2182 5.5524" Properties=species:S:1:pos:R:3 pbc="T T T"
Li 1.8506 1.9213 1.7073
Li 2.8118 4.7152 3.1226
Li 2.9476 1.7581 4.6392
Li 4.7854 3.2656 0.9132
Li 4.9212 0.3085 2.4298
Li 5.8823 3.1024 3.8452
Au 2.0452 4.5212 0.3529
Au 5.6877 0.5025 5.1995
O 1.2421 3.7916 2.0506
O 2.3105 3.6738 4.7797
O 3.7214 5.1787 1.3750
O 2.9613 2.6209 0.0000
O 4.0116 -0.1550 4.1774
O 5.4224 1.3499 0.7727
O 6.4908 1.2321 3.5018
```

Results
volume: 152 Å³/f.u.
space group: P-1, No. 2
total DFT energy (no corrections): -70.0 eV per formula unit
crystal system: triclinic

Entry 3:
A geometry-optimized BaDy2P4 structure. Source: the Open Quantum Materials Database, functional PBE-GGA.

```
14
Lattice="0.0000 5.5307 11.4564 2.9290 0.0000 11.4564 2.9290 5.5307 0.0000" Properties=species:S:1:pos:R:3 pbc="T T T"
Ba 0.7323 1.3827 2.8641
Ba 5.1258 9.6787 20.0487
Dy 2.1968 4.1480 5.8331
Dy 2.1968 4.1480 11.3515
Dy 3.6613 6.9134 11.5613
Dy 3.6613 6.9134 17.0797
P 2.6590 1.9729 9.6653
P 1.7345 1.9729 7.5193
P 4.1235 4.7383 13.2475
P 2.6590 6.3231 7.5193
P 3.1990 4.7383 15.3935
P 1.7345 6.3231 9.6653
P 4.1235 9.0885 15.3935
P 3.1990 9.0885 13.2475
```

Results
volume: 186 Å³/f.u.
total magnetization: 0.00 μB per formula unit
space group: Fddd, No. 70
total DFT energy (no corrections): -36.6 eV per formula unit
crystal system: orthorhombic

Entry 4:
A geometry-optimized LiDyPdSe3 structure. Source: the Open Quantum Materials Database, functional PBE-GGA.

```
12
Lattice="1.9603 -6.8931 0.0000 1.9603 6.8931 0.0000 0.0000 0.0000 10.2177" Properties=species:S:1:pos:R:3 pbc="T T T"
Li 1.9603 4.0093 7.6633
Li 1.9603 -4.0093 2.5544
Dy 0.0000 0.0000 0.0000
Dy 0.0000 0.0000 5.1088
Pd 1.9603 0.0923 2.5544
Pd 1.9603 -0.0923 7.6633
Se 1.9603 5.3964 2.5544
Se 1.9603 1.9296 0.8336
Se 1.9603 1.9296 4.2753
Se 1.9603 -1.9296 5.9424
Se 1.9603 -1.9296 9.3841
Se 1.9603 -5.3964 7.6633
```

Results
volume: 138 Å³/f.u.
total magnetization: 0.00 μB per formula unit
space group: Cmcm, No. 63
total DFT energy (no corrections): -28.6 eV per formula unit
crystal system: orthorhombic

What is the formula in the third record? BaDy2P4